Crystalline Mn2AsPbI at its relaxed geometry, computed with PBE-GGA.

## Properties
**Space-group type**: P4/mmm
**DOS at the Fermi energy**: 3.79 states/eV/f.u.
**Formation energy from raw total energies**: 0.541 eV per atom
**Energy**: -5.11 eV per atom

Cell: 4.716 7.068 4.716 Å, 90.00 90.00 90.00°
Each line ends with the local moment (μB).
Element x y z (fractional)
1 Pb 0.500 0.500 0.500  -0.12
2 I 0.000 0.500 0.000  0.00
3 As 0.000 0.000 0.000  -0.14
4 Mn 0.000 0.000 0.500  3.99
5 Mn 0.500 0.000 0.000  3.78

***

Crystalline MnAsRu2I at its relaxed geometry, computed with PBE-GGA.

## Properties
**Space-group type**: P4/mmm
**DOS at the Fermi energy**: 6.52 states/eV/f.u.
**Formation energy from raw total energies**: 1.106 eV per atom
**Energy**: -5.68 eV per atom

Cell: 4.629 4.408 4.629 Å, 90.00 90.00 90.00°
Element x y z (fractional)
1 I 0.500 0.500 0.500
2 Ru 0.000 0.000 0.500
3 Ru 0.500 0.000 0.000
4 As 0.000 0.500 0.000
5 Mn 0.000 0.000 0.000

***

Crystalline MnAs2SI at its relaxed geometry, computed with PBE-GGA.

## Properties
**Space-group type**: P4/mmm
**DOS at the Fermi energy**: 8.28 states/eV/f.u.
**Formation energy from raw total energies**: 1.808 eV per atom
**Energy**: -3.02 eV per atom

Cell: 5.445 5.445 4.722 Å, 90.00 90.00 90.00°
Each line ends with the local moment (μB).
Element x y z (fractional)
1 I 0.000 0.000 0.000  0.01
2 As 0.000 0.500 0.000  0.10
3 As 0.500 0.000 0.000  0.10
4 Mn 0.000 0.000 0.500  -0.85
5 S 0.500 0.500 0.500  0.05

***

Crystalline MnAs2SeI at its relaxed geometry, computed with PBE-GGA.

## Properties
**Space-group type**: P4/mmm
**DOS at the Fermi energy**: 5.31 states/eV/f.u.
**Formation energy from raw total energies**: 0.382 eV per atom
**E above lowest polymorph**: 0.0000 eV/atom
**Energy**: -4.32 eV per atom

Cell: 4.840 4.840 4.578 Å, 90.00 90.00 90.00°
Element x y z (fractional)
1 I 0.500 0.500 0.500
2 As 0.000 0.500 0.000
3 As 0.500 0.000 0.000
4 Mn 0.000 0.000 0.000
5 Se 0.000 0.000 0.500

***

Crystalline SrMnAsI2 at its relaxed geometry, computed with PBE-GGA.

## Properties
**Space-group type**: P4/mmm
**DOS at the Fermi energy**: 5.08 states/eV/f.u.
**Formation energy from raw total energies**: -0.288 eV per atom
**Energy**: -4.01 eV per atom

Cell: 5.594 4.548 5.594 Å, 90.00 90.00 90.00°
Element x y z (fractional)
1 I 0.000 0.000 0.500
2 I 0.500 0.000 0.000
3 Sr 0.500 0.500 0.500
4 As 0.000 0.500 0.000
5 Mn 0.000 0.000 0.000

***

Crystalline Ta2MnAsI at its relaxed geometry, computed with PBE-GGA.

## Properties
**Space-group type**: P4/mmm
**DOS at the Fermi energy**: 5.97 states/eV/f.u.
**Formation energy from raw total energies**: 2.211 eV per atom
**Energy**: -5.60 eV per atom

Cell: 5.031 5.320 5.031 Å, 90.00 90.00 90.00°
Each line ends with the local moment (μB).
Element x y z (fractional)
1 I 0.000 0.000 0.000  0.01
2 As 0.000 0.500 0.000  0.01
3 Mn 0.500 0.500 0.500  4.29
4 Ta 0.000 0.000 0.500  -0.23
5 Ta 0.500 0.000 0.000  -0.35

***

- Which of these has the lowest DOS at the Fermi energy?
  Mn2AsPbI

***

What did the first record say?
Crystalline Mn2AsPbI at its relaxed geometry, computed with PBE-GGA.

## Properties
**Space-group type**: P4/mmm
**DOS at the Fermi energy**: 3.79 states/eV/f.u.
**Formation energy from raw total energies**: 0.541 eV per atom
**Energy**: -5.11 eV per atom

Cell: 4.716 7.068 4.716 Å, 90.00 90.00 90.00°
Each line ends with the local moment (μB).
Element x y z (fractional)
1 Pb 0.500 0.500 0.500  -0.12
2 I 0.000 0.500 0.000  0.00
3 As 0.000 0.000 0.000  -0.14
4 Mn 0.000 0.000 0.500  3.99
5 Mn 0.500 0.000 0.000  3.78

***

- Which of these has the highest formation energy from raw total energies?
  Ta2MnAsI